Here is a relaxed structure of KC from Alexandria via LeMat-Bulk. Energies are from PBEsol.

Properties
Spin magnetization ... 3.0 μB/cell
ΔH_f (0 K) ... 2.568 eV/atom
Space group ... No. 123
Calculated total energy ... -2.820 eV/atom

Cell: 4.104 4.104 6.681 Å, 90.00 90.00 90.00°
Fractional positions:
C  0.000  0.000  0.000
K  0.500  0.500  0.000